DFT (PBE-GGA) results for an optimized crystal structure of ZrSi2Te.

The structure belongs to space group Pmmm (No. 47); the cell edges are 3.836, 3.964 and 5.439 Å and the angles 90.00°, 90.00° and 90.00°. The asymmetric unit holds Zr at (0.000, 0.000, 0.000), Si at (0.500, 0.000, 0.500), Si at (0.500, 0.500, 0.000) and Te at (0.000, 0.500, 0.500).

The raw formation energy comes out at 0.1034 eV per atom. The value obtained for the total energy is -5.5306 eV per atom.



DFT (PBE-GGA) results for an optimized crystal structure of ZrSi2Te.

The structure belongs to space group P2/m (No. 10); the cell edges are 3.732, 3.629 and 6.151 Å and the angles 90.00°, 101.78° and 90.00°. The asymmetric unit holds Zr at (0.000, 0.000, 0.000), Si at (0.444, 0.500, 0.802) and Te at (0.000, 0.000, 0.500).

The raw formation energy comes out at -0.1185 eV per atom. The value obtained for the total energy is -5.7525 eV per atom.